No. 1
## Pm4InPt (GGA-PBE)

Data for crystalline Pm4InPt at its relaxed geometry.

The relative energy among the computed polymorphs is 0.57 eV per formula unit. Its density of states at the Fermi level is 29.50 states/eV/cell.

The space group is C2/c (No. 15) and the conventional cell measures 8.9768, 14.0285 and 5.9347 Å, with angles of 90.00, 110.24 and 90.00 degrees. The asymmetric unit holds Pm at (0.1139, 0.1841, 0.0666), Pm at (0.2172, 0.4231, 0.3595), In at (0.0000, 0.3801, 0.7500) and Pt at (0.0000, 0.0010, 0.7500).


No. 2
## LaGa2PdAu2 (GGA-PBE)

Data for crystalline LaGa2PdAu2 at its relaxed geometry.

The calculation puts the total energy at -4.23 eV/atom. Its density of states at the Fermi level is 4.06 states/eV/cell.

The space group is P4/mmm (No. 123) and the conventional cell measures 4.8077, 4.8077 and 5.7610 Å, with angles of 90.00, 90.00 and 90.00 degrees. The asymmetric unit holds La at (0.0000, 0.0000, 0.0000), Ga at (0.0000, 0.5000, 0.5000), Pd at (0.0000, 0.0000, 0.5000) and Au at (0.5000, 0.5000, 0.2351).


No. 3
## Sm4FeCl5 (GGA-PBE)

Data for crystalline Sm4FeCl5 at its relaxed geometry.

As for the formation energy from raw total energies: -1.53 eV per atom. Its density of states at the Fermi level is 7.15 states/eV/cell.

The space group is C2/m (No. 12) and the conventional cell measures 17.5348, 3.9639 and 8.7486 Å, with angles of 90.00, 106.03 and 90.00 degrees. The asymmetric unit holds Sm at (0.0019, 0.0000, 0.2362), Sm at (0.1436, 0.5000, 0.0804), Fe at (0.0000, 0.5000, 0.0000), Cl at (0.0000, 0.5000, 0.5000), Cl at (0.1685, 0.0000, 0.3209) and Cl at (0.1694, 0.0000, 0.8602).


No. 4
## Mg2Sn3 (GGA-PBE)

Data for crystalline Mg2Sn3 at its relaxed geometry.

The relative energy among the computed polymorphs is 0.00 eV per formula unit. Its density of states at the Fermi level is 7.51 states/eV/cell.

The space group is C2/c (No. 15) and the conventional cell measures 8.7591, 14.5364 and 4.8147 Å, with angles of 90.00, 122.34 and 90.00 degrees. The asymmetric unit holds Mg at (0.0000, 0.0782, 0.2500), Mg at (0.0000, 0.2354, 0.7500), Sn at (0.2118, 0.4229, 0.9680) and Sn at (0.2500, 0.2500, 0.5000).